First-principles (GGA+U) data for crystalline NpCoRh2O8 at its relaxed geometry, as listed in the Alexandria database.

Computed properties:
Raw total energy: -7.457 eV/atom
Magnetization: 0.8 μB per formula unit
Crystal system: orthorhombic
N(E_F): 8.62 states/eV/cell

a b c (Å): 4.762 4.762 6.259
angles (deg): 90.00 90.00 90.48
Element x y z (fractional)
Np: 0.000 0.000 0.000
Co: 0.000 0.000 0.500
Rh: 0.500 0.500 0.257
Rh: 0.500 0.500 0.743
O: 0.200 0.200 0.248
O: 0.200 0.200 0.752
O: 0.313 0.687 0.000
O: 0.313 0.687 0.500
O: 0.687 0.313 0.000
O: 0.687 0.313 0.500
O: 0.800 0.800 0.248
O: 0.800 0.800 0.752